(1)
NbV2Sb after structural relaxation, computed with PBE.

Unit cell a=9.879 b=9.879 c=9.879 alpha=157.04 beta=157.04 gamma=32.69
Positions (direct):
Nb (0.000, 0.000, 0.000)
Nb (0.750, 0.250, 0.500)
V (0.141, 0.625, 0.016)
V (0.375, 0.391, 0.516)
V (0.609, 0.125, 0.984)
V (0.875, 0.859, 0.484)
Sb (0.250, 0.750, 0.500)
Sb (0.500, 0.500, 0.000)

- space-group type = I-42d, No. 122
- total magnetization (Bohr magnetons per cell) = 0.000
- density (Mg/m³) = 7.2
- uncorrected formation energy (eV/atom) = 0.51

(2)
YSc2Tl after structural relaxation, computed with PBE.

Unit cell a=5.238 b=5.238 c=5.238 alpha=60.00 beta=60.00 gamma=60.00
Positions (direct):
Y (0.000, 0.000, 0.000)
Sc (0.250, 0.250, 0.250)
Sc (0.500, 0.500, 0.500)
Tl (0.750, 0.750, 0.750)

- energy relative to the lowest polymorph listed for this composition (eV per atom) = 0.144
- ΔE_f (meV/atom) = -56.4
- space-group type = F-43m, No. 216
- total magnetization (Bohr magnetons per cell) = 1.633
- density (Mg/m³) = 6.3

(3)
Ca2Bi2Sb after structural relaxation, computed with PBE.

Unit cell a=8.291 b=8.291 c=4.836 alpha=90.00 beta=90.00 gamma=90.00
Positions (direct):
Ca (0.170, 0.330, 0.000)
Ca (0.330, 0.830, 0.000)
Ca (0.670, 0.170, 0.000)
Ca (0.830, 0.670, 0.000)
Bi (0.128, 0.628, 0.500)
Bi (0.372, 0.128, 0.500)
Bi (0.628, 0.872, 0.500)
Bi (0.872, 0.372, 0.500)
Sb (0.000, 0.000, 0.000)
Sb (0.500, 0.500, 0.000)

- energy relative to the lowest polymorph listed for this composition (eV per atom) = 0.059
- space-group type = P4/mbm, No. 127
- total magnetization (Bohr magnetons per cell) = 0.000
- density (Mg/m³) = 6.2
- uncorrected formation energy (eV/atom) = -0.49

(4)
KBeRe3 after structural relaxation, computed with PBE.

Unit cell a=4.489 b=4.489 c=4.489 alpha=90.00 beta=90.00 gamma=90.00
Positions (direct):
K (0.000, 0.000, 0.000)
Be (0.500, 0.500, 0.500)
Re (0.000, 0.000, 0.500)
Re (0.000, 0.500, 0.000)
Re (0.500, 0.000, 0.000)

- energy relative to the lowest polymorph listed for this composition (eV per atom) = 2.330
- ΔE_f (meV/atom) = 4079.9
- space-group type = Pm-3m, No. 221
- total magnetization (Bohr magnetons per cell) = 0.000
- density (Mg/m³) = 11.1

(5)
PmDyCuRh after structural relaxation, computed with PBE.

Unit cell a=4.947 b=4.947 c=4.947 alpha=60.00 beta=60.00 gamma=60.00
Positions (direct):
Pm (0.000, 0.000, 0.000)
Dy (0.500, 0.500, 0.500)
Cu (0.750, 0.750, 0.750)
Rh (0.250, 0.250, 0.250)

- energy relative to the lowest polymorph listed for this composition (eV per atom) = 0.036
- ΔE_f (meV/atom) = -497.8
- space-group type = F-43m, No. 216
- total magnetization (Bohr magnetons per cell) = 0.000
- density (Mg/m³) = 9.2

(6)
RbLaIn2 after structural relaxation, computed with PBE.

Unit cell a=5.810 b=5.810 c=5.810 alpha=60.00 beta=60.00 gamma=60.00
Positions (direct):
Rb (0.000, 0.000, 0.000)
La (0.500, 0.500, 0.500)
In (0.250, 0.250, 0.250)
In (0.750, 0.750, 0.750)

- energy relative to the lowest polymorph listed for this composition (eV per atom) = 0.000
- ΔE_f (meV/atom) = -59.6
- space-group type = Fm-3m, No. 225
- total magnetization (Bohr magnetons per cell) = 0.000
- density (Mg/m³) = 5.4

(7)
Hf4Zr2Sc after structural relaxation, computed with PBE.

Unit cell a=18.273 b=18.273 c=18.273 alpha=10.01 beta=10.01 gamma=10.01
Positions (direct):
Hf (0.143, 0.143, 0.143)
Hf (0.285, 0.285, 0.285)
Hf (0.715, 0.715, 0.715)
Hf (0.857, 0.857, 0.857)
Zr (0.429, 0.429, 0.429)
Zr (0.571, 0.571, 0.571)
Sc (0.000, 0.000, 0.000)

- energy relative to the lowest polymorph listed for this composition (eV per atom) = 0.000
- ΔE_f (meV/atom) = 65.0
- space-group type = R-3m, No. 166
- total magnetization (Bohr magnetons per cell) = 0.000
- density (Mg/m³) = 9.8

(8)
Lu2ThCd after structural relaxation, computed with PBE.

Unit cell a=5.422 b=5.422 c=5.422 alpha=60.00 beta=60.00 gamma=60.00
Positions (direct):
Lu (0.250, 0.250, 0.250)
Lu (0.750, 0.750, 0.750)
Th (0.000, 0.000, 0.000)
Cd (0.500, 0.500, 0.500)

- energy relative to the lowest polymorph listed for this composition (eV per atom) = 0.280
- ΔE_f (meV/atom) = 128.9
- space-group type = Fm-3m, No. 225
- total magnetization (Bohr magnetons per cell) = 1.744
- density (Mg/m³) = 10.2

- Which formula does entry 4 have?
  KBeRe3